First-principles (PBE-GGA) data for crystalline RbHfBe at its relaxed geometry, as listed in OQMD.

abc: 6.8547 6.8547 6.8547
angles: 90.00 90.00 90.00
Space group F-43m (No. 216)
Inequivalent atoms, fractional coordinates:
Rb (0.0000, 0.0000, 0.0000) x4
Hf (0.2500, 0.2500, 0.2500) x4
Be (0.2500, 0.2500, 0.7500) x4

Computed properties:
Energy relative to the lowest polymorph listed for this composition   650.6 meV per atom
Total energy   -30.398 eV per cell

***

First-principles (PBE-GGA) data for crystalline HfBe2Re at its relaxed geometry, as listed in OQMD.

abc: 6.0764 6.0764 6.0764
angles: 90.00 90.00 90.00
Space group F-43m (No. 216)
Inequivalent atoms, fractional coordinates:
Hf (0.0000, 0.0000, 0.0000) x4
Be (0.0000, 0.0000, 0.5000) x4
Be (0.2500, 0.2500, 0.2500) x4
Re (0.2500, 0.2500, 0.7500) x4

Computed properties:
Total energy   -114.741 eV per cell

***

First-principles (PBE-GGA) data for crystalline HfBe2Re2 at its relaxed geometry, as listed in OQMD.

abc: 3.6215 3.6215 10.5042
angles: 90.00 90.00 90.00
Space group I4/mmm (No. 139)
Inequivalent atoms, fractional coordinates:
Hf (0.0000, 0.0000, 0.0000) x2
Be (0.0000, 0.0000, 0.4037) x4
Re (0.0000, 0.5000, 0.2500) x4

Computed properties:
Total energy   -86.231 eV per cell

***

First-principles (PBE-GGA) data for crystalline Hf2Be2Re at its relaxed geometry, as listed in OQMD.

abc: 6.4785 6.4785 3.4995
angles: 90.00 90.00 90.00
Space group P4/mbm (No. 127)
Inequivalent atoms, fractional coordinates:
Hf (0.1836, 0.3164, 0.0000) x4
Be (0.1162, 0.6162, 0.5000) x4
Re (0.0000, 0.0000, 0.5000) x2

Computed properties:
Total energy   -81.990 eV per cell

***

First-principles (PBE-GGA) data for crystalline HfBe5Re at its relaxed geometry, as listed in OQMD.

abc: 5.2850 7.4037 4.9034
angles: 90.00 90.00 90.00
Space group Imm2 (No. 44)
Inequivalent atoms, fractional coordinates:
Hf (0.0000, 0.0000, 0.0000) x2
Be (0.0000, 0.0000, 0.5263) x2
Be (0.0000, 0.2642, 0.5861) x4
Be (0.1735, 0.5000, 0.8526) x4
Re (0.0000, 0.5000, 0.3114) x2

Computed properties:
Total energy   -71.160 eV per cell

***

First-principles (PBE-GGA) data for crystalline HfBeReSb at its relaxed geometry, as listed in OQMD.

abc: 6.4591 6.4591 6.4591
angles: 90.00 90.00 90.00
Space group F-43m (No. 216)
Inequivalent atoms, fractional coordinates:
Hf (0.0000, 0.0000, 0.0000) x4
Be (0.0000, 0.0000, 0.5000) x4
Re (0.2500, 0.2500, 0.7500) x4
Sb (0.2500, 0.2500, 0.2500) x4

Computed properties:
Energy relative to the lowest polymorph listed for this composition   214.8 meV per atom
Total energy   -114.437 eV per cell

***

First-principles (PBE-GGA) data for crystalline HfBeReSb at its relaxed geometry, as listed in OQMD.

abc: 6.4195 6.4195 6.4195
angles: 90.00 90.00 90.00
Space group F-43m (No. 216)
Inequivalent atoms, fractional coordinates:
Hf (0.0000, 0.0000, 0.0000) x4
Be (0.2500, 0.2500, 0.2500) x4
Re (0.0000, 0.0000, 0.5000) x4
Sb (0.2500, 0.2500, 0.7500) x4

Computed properties:
Energy relative to the lowest polymorph listed for this composition   71.0 meV per atom
Total energy   -116.738 eV per cell

***

First-principles (PBE-GGA) data for crystalline HfBeReSb at its relaxed geometry, as listed in OQMD.

abc: 6.4226 6.4226 6.4226
angles: 90.00 90.00 90.00
Space group F-43m (No. 216)
Inequivalent atoms, fractional coordinates:
Hf (0.0000, 0.0000, 0.0000) x4
Be (0.2500, 0.2500, 0.7500) x4
Re (0.2500, 0.2500, 0.2500) x4
Sb (0.0000, 0.0000, 0.5000) x4

Computed properties:
Energy relative to the lowest polymorph listed for this composition   0.0 meV per atom
Total energy   -117.874 eV per cell

***

First-principles (PBE-GGA) data for crystalline HfTaBeRe at its relaxed geometry, as listed in OQMD.

abc: 6.3665 6.3665 6.3665
angles: 90.00 90.00 90.00
Space group F-43m (No. 216)
Inequivalent atoms, fractional coordinates:
Hf (0.0000, 0.0000, 0.0000) x4
Ta (0.0000, 0.0000, 0.5000) x4
Be (0.2500, 0.2500, 0.7500) x4
Re (0.2500, 0.2500, 0.2500) x4

Computed properties:
Energy relative to the lowest polymorph listed for this composition   0.0 meV per atom
Total energy   -153.894 eV per cell

***

First-principles (PBE-GGA) data for crystalline HfTaBeRe at its relaxed geometry, as listed in OQMD.

abc: 6.3232 6.3232 6.3232
angles: 90.00 90.00 90.00
Space group F-43m (No. 216)
Inequivalent atoms, fractional coordinates:
Hf (0.0000, 0.0000, 0.0000) x4
Ta (0.2500, 0.2500, 0.7500) x4
Be (0.2500, 0.2500, 0.2500) x4
Re (0.0000, 0.0000, 0.5000) x4

Computed properties:
Energy relative to the lowest polymorph listed for this composition   155.7 meV per atom
Total energy   -151.402 eV per cell

***

First-principles (PBE-GGA) data for crystalline HfBeSb2 at its relaxed geometry, as listed in OQMD.

abc: 7.0295 7.0295 7.0295
angles: 90.00 90.00 90.00
Space group F-43m (No. 216)
Inequivalent atoms, fractional coordinates:
Hf (0.0000, 0.0000, 0.0000) x4
Be (0.2500, 0.2500, 0.7500) x4
Sb (0.0000, 0.0000, 0.5000) x4
Sb (0.2500, 0.2500, 0.2500) x4

Computed properties:
Total energy   -79.042 eV per cell

***

First-principles (PBE-GGA) data for crystalline Hf2BeSb at its relaxed geometry, as listed in OQMD.

abc: 6.7495 6.7495 6.7495
angles: 90.00 90.00 90.00
Space group F-43m (No. 216)
Inequivalent atoms, fractional coordinates:
Hf (0.0000, 0.0000, 0.0000) x4
Hf (0.2500, 0.2500, 0.2500) x4
Be (0.2500, 0.2500, 0.7500) x4
Sb (0.0000, 0.0000, 0.5000) x4

Computed properties:
Total energy   -103.838 eV per cell

***

First-principles (PBE-GGA) data for crystalline HfBe2Sb at its relaxed geometry, as listed in OQMD.

abc: 6.5215 6.5215 6.5215
angles: 90.00 90.00 90.00
Space group F-43m (No. 216)
Inequivalent atoms, fractional coordinates:
Hf (0.0000, 0.0000, 0.0000) x4
Be (0.0000, 0.0000, 0.5000) x4
Be (0.2500, 0.2500, 0.2500) x4
Sb (0.2500, 0.2500, 0.7500) x4

Computed properties:
Total energy   -76.218 eV per cell

***

First-principles (PBE-GGA) data for crystalline HfSc2Be at its relaxed geometry, as listed in OQMD.

abc: 6.7626 6.7626 6.7626
angles: 90.00 90.00 90.00
Space group F-43m (No. 216)
Inequivalent atoms, fractional coordinates:
Hf (0.0000, 0.0000, 0.0000) x4
Sc (0.0000, 0.0000, 0.5000) x4
Sc (0.2500, 0.2500, 0.2500) x4
Be (0.2500, 0.2500, 0.7500) x4

Computed properties:
Total energy   -100.753 eV per cell

***

First-principles (PBE-GGA) data for crystalline HfScBe at its relaxed geometry, as listed in OQMD.

abc: 6.1712 6.1712 6.1712
angles: 90.00 90.00 90.00
Space group F-43m (No. 216)
Inequivalent atoms, fractional coordinates:
Hf (0.0000, 0.0000, 0.0000) x4
Sc (0.0000, 0.0000, 0.5000) x4
Be (0.2500, 0.2500, 0.2500) x4

Computed properties:
Energy relative to the lowest polymorph listed for this composition   0.0 meV per atom
Total energy   -76.183 eV per cell

***

First-principles (PBE-GGA) data for crystalline Hf2ScBe at its relaxed geometry, as listed in OQMD.

abc: 6.7323 6.7323 6.7323
angles: 90.00 90.00 90.00
Space group F-43m (No. 216)
Inequivalent atoms, fractional coordinates:
Hf (0.0000, 0.0000, 0.0000) x4
Hf (0.2500, 0.2500, 0.2500) x4
Sc (0.2500, 0.2500, 0.7500) x4
Be (0.0000, 0.0000, 0.5000) x4

Computed properties:
Total energy   -114.502 eV per cell

***

First-principles (PBE-GGA) data for crystalline HfBeSi2 at its relaxed geometry, as listed in OQMD.

abc: 6.2156 6.2156 6.2156
angles: 90.00 90.00 90.00
Space group F-43m (No. 216)
Inequivalent atoms, fractional coordinates:
Hf (0.0000, 0.0000, 0.0000) x4
Be (0.2500, 0.2500, 0.7500) x4
Si (0.0000, 0.0000, 0.5000) x4
Si (0.2500, 0.2500, 0.2500) x4

Computed properties:
Total energy   -92.722 eV per cell

***

First-principles (PBE-GGA) data for crystalline SmHfBe2Si2 at its relaxed geometry, as listed in OQMD.

abc: 3.7941 3.7941 7.7861
angles: 90.00 90.00 120.00
Space group P-3m1 (No. 164)
Inequivalent atoms, fractional coordinates:
Sm (0.0000, 0.0000, 0.0000) x1
Hf (0.0000, 0.0000, 0.5000) x1
Be (0.3333, 0.6667, 0.7201) x2
Si (0.3333, 0.6667, 0.2704) x2

Computed properties:
Total energy   -36.847 eV per cell

***

First-principles (PBE-GGA) data for crystalline TbHfBe2Si2 at its relaxed geometry, as listed in OQMD.

abc: 3.7756 3.7756 7.6681
angles: 90.00 90.00 120.00
Space group P-3m1 (No. 164)
Inequivalent atoms, fractional coordinates:
Tb (0.0000, 0.0000, 0.0000) x1
Hf (0.0000, 0.0000, 0.5000) x1
Be (0.3333, 0.6667, 0.7252) x2
Si (0.3333, 0.6667, 0.2658) x2

Computed properties:
Total energy   -36.853 eV per cell

***

First-principles (PBE-GGA) data for crystalline TmHfBe2Si2 at its relaxed geometry, as listed in OQMD.

abc: 3.7550 3.7550 7.5509
angles: 90.00 90.00 120.00
Space group P-3m1 (No. 164)
Inequivalent atoms, fractional coordinates:
Tm (0.0000, 0.0000, 0.0000) x1
Hf (0.0000, 0.0000, 0.5000) x1
Be (0.3333, 0.6667, 0.7301) x2
Si (0.3333, 0.6667, 0.2616) x2

Computed properties:
Total energy   -36.662 eV per cell

***

First-principles (PBE-GGA) data for crystalline YHfBe2Si2 at its relaxed geometry, as listed in OQMD.

abc: 3.7721 3.7721 7.6437
angles: 90.00 90.00 120.00
Space group P-3m1 (No. 164)
Inequivalent atoms, fractional coordinates:
Y (0.0000, 0.0000, 0.0000) x1
Hf (0.0000, 0.0000, 0.5000) x1
Be (0.3333, 0.6667, 0.2741) x2
Si (0.3333, 0.6667, 0.7347) x2

Computed properties:
Total energy   -38.719 eV per cell

***

First-principles (PBE-GGA) data for crystalline HfZrBe2Si2 at its relaxed geometry, as listed in OQMD.

abc: 3.7182 3.7182 7.1806
angles: 90.00 90.00 120.00
Space group P-3m1 (No. 164)
Inequivalent atoms, fractional coordinates:
Hf (0.0000, 0.0000, 0.0000) x1
Zr (0.0000, 0.0000, 0.5000) x1
Be (0.3333, 0.6667, 0.7524) x2
Si (0.3333, 0.6667, 0.2476) x2

Computed properties:
Total energy   -41.059 eV per cell

***

First-principles (PBE-GGA) data for crystalline SmHfBe at its relaxed geometry, as listed in OQMD.

abc: 6.5661 6.5661 6.5661
angles: 90.00 90.00 90.00
Space group F-43m (No. 216)
Inequivalent atoms, fractional coordinates:
Sm (0.0000, 0.0000, 0.0000) x4
Hf (0.2500, 0.2500, 0.7500) x4
Be (0.0000, 0.0000, 0.5000) x4

Computed properties:
Energy relative to the lowest polymorph listed for this composition   0.0 meV per atom
Total energy   -59.954 eV per cell

***

First-principles (PBE-GGA) data for crystalline SmHfBe at its relaxed geometry, as listed in OQMD.

abc: 6.6741 6.6741 6.6741
angles: 90.00 90.00 90.00
Space group F-43m (No. 216)
Inequivalent atoms, fractional coordinates:
Sm (0.0000, 0.0000, 0.0000) x4
Hf (0.2500, 0.2500, 0.2500) x4
Be (0.2500, 0.2500, 0.7500) x4

Computed properties:
Energy relative to the lowest polymorph listed for this composition   211.9 meV per atom
Total energy   -57.412 eV per cell

***

First-principles (PBE-GGA) data for crystalline HfBeSn at its relaxed geometry, as listed in OQMD.

abc: 6.0340 6.0340 6.0340
angles: 90.00 90.00 90.00
Space group F-43m (No. 216)
Inequivalent atoms, fractional coordinates:
Hf (0.0000, 0.0000, 0.0000) x4
Be (0.2500, 0.2500, 0.2500) x4
Sn (0.0000, 0.0000, 0.5000) x4

Computed properties:
Total energy   -69.660 eV per cell

***

First-principles (PBE-GGA) data for crystalline HfBe2Sn at its relaxed geometry, as listed in OQMD.

abc: 6.4494 6.4494 6.4494
angles: 90.00 90.00 90.00
Space group F-43m (No. 216)
Inequivalent atoms, fractional coordinates:
Hf (0.0000, 0.0000, 0.0000) x4
Be (0.0000, 0.0000, 0.5000) x4
Be (0.2500, 0.2500, 0.2500) x4
Sn (0.2500, 0.2500, 0.7500) x4

Computed properties:
Total energy   -76.471 eV per cell

***

First-principles (PBE-GGA) data for crystalline Hf2BeSn at its relaxed geometry, as listed in OQMD.

abc: 6.7403 6.7403 6.7403
angles: 90.00 90.00 90.00
Space group F-43m (No. 216)
Inequivalent atoms, fractional coordinates:
Hf (0.0000, 0.0000, 0.0000) x4
Hf (0.2500, 0.2500, 0.2500) x4
Be (0.2500, 0.2500, 0.7500) x4
Sn (0.0000, 0.0000, 0.5000) x4

Computed properties:
Total energy   -103.594 eV per cell

***

First-principles (PBE-GGA) data for crystalline SrHfBe at its relaxed geometry, as listed in OQMD.

abc: 6.7887 6.7887 6.7887
angles: 90.00 90.00 90.00
Space group F-43m (No. 216)
Inequivalent atoms, fractional coordinates:
Sr (0.0000, 0.0000, 0.0000) x4
Hf (0.2500, 0.2500, 0.2500) x4
Be (0.2500, 0.2500, 0.7500) x4

Computed properties:
Energy relative to the lowest polymorph listed for this composition   846.4 meV per atom
Total energy   -40.128 eV per cell

***

First-principles (PBE-GGA) data for crystalline SrHfBe at its relaxed geometry, as listed in OQMD.

abc: 6.7578 6.7578 6.7578
angles: 90.00 90.00 90.00
Space group F-43m (No. 216)
Inequivalent atoms, fractional coordinates:
Sr (0.0000, 0.0000, 0.0000) x4
Hf (0.0000, 0.0000, 0.5000) x4
Be (0.2500, 0.2500, 0.7500) x4

Computed properties:
Energy relative to the lowest polymorph listed for this composition   0.0 meV per atom
Total energy   -50.284 eV per cell

***

First-principles (PBE-GGA) data for crystalline SrHfBe2 at its relaxed geometry, as listed in OQMD.

abc: 6.7605 6.7605 6.7605
angles: 90.00 90.00 90.00
Space group F-43m (No. 216)
Inequivalent atoms, fractional coordinates:
Sr (0.0000, 0.0000, 0.0000) x4
Hf (0.2500, 0.2500, 0.2500) x4
Be (0.0000, 0.0000, 0.5000) x4
Be (0.2500, 0.2500, 0.7500) x4

Computed properties:
Total energy   -58.882 eV per cell